Density functional theory data (PBE) for an optimized crystal structure of KP2Ir2.

```
data_KP2Ir2
_cell_length_a 3.9627
_cell_length_b 3.9627
_cell_length_c 13.2119
_cell_angle_alpha 90.00
_cell_angle_beta 90.00
_cell_angle_gamma 90.00
_symmetry_space_group_name_H-M 'I 4/m m m'
_symmetry_Int_Tables_number 139
_symmetry_space_group_name_Hall '-I 4 2'
loop_
_atom_site_label
_atom_site_type_symbol
_atom_site_fract_x
_atom_site_fract_y
_atom_site_fract_z
_atom_site_occupancy
K1 K 0.0000 0.0000 0.0000 1
P1 P 0.0000 0.0000 0.3474 1
Ir1 Ir 0.0000 0.5000 0.2500 1
```

## Properties
DOS(E_F) = 2.4 states/eV per cell
formation energy = -0.637 eV per atom
crystal system = tetragonal